# 1
Material: YSbBr4
Method: DFT, PBE-GGA
State: relaxed

Cell lengths 6.1881, 6.1881, 6.1881 Å; angles 60.00, 60.00, 60.00 degrees
Last column: nearest neighbours and their distance in Å.
Atoms (fractional coordinates):
Y  0.0000  0.0000  0.0000  12 Br 3.63, 4 Sb 3.79
Sb  0.2500  0.2500  0.2500  12 Br 3.63, 4 Y 3.79
Br  0.1249  0.6250  0.6250  6 Br 3.09
Br  0.6250  0.1249  0.6250  6 Br 3.09
Br  0.6250  0.6250  0.1249  6 Br 3.09
Br  0.6250  0.6250  0.6250  6 Br 3.09

Calculated values
space-group type = F-43m (216)
uncorrected energy = -2.760 eV per atom


# 2
Material: LaNbPdN2
Method: DFT, PBE-GGA
State: relaxed

Cell lengths 4.0708, 4.0708, 6.4642 Å; angles 90.00, 90.00, 90.00 degrees
Last column: nearest neighbours and their distance in Å.
Atoms (fractional coordinates):
La  0.0000  0.0000  0.0000  4 Pd 2.88
Nb  0.0000  0.0000  0.5000  4 N 2.04
Pd  0.5000  0.5000  0.0000  4 La 2.88
N  0.0000  0.5000  0.5000  2 Nb 2.04
N  0.5000  0.0000  0.5000  2 Nb 2.04

Calculated values
energy relative to the lowest polymorph listed for this composition = 0 meV per atom
space-group type = P4/mmm (123)


# 3
Material: RbTbSiO4
Method: DFT, PBE-GGA
State: relaxed

Cell lengths 5.6364, 5.7285, 7.6524 Å; angles 90.00, 106.96, 90.00 degrees
Last column: nearest neighbours and their distance in Å.
Atoms (fractional coordinates):
Rb  0.1931  0.2500  0.4292  6 O 2.82-3.15
Rb  0.8069  0.7500  0.5708  6 O 2.82-3.15
Tb  0.2842  0.2500  0.9581  6 O 2.29-2.42
Tb  0.7158  0.7500  0.0419  6 O 2.29-2.42
Si  0.2550  0.7500  0.1572  4 O 1.63-1.66
Si  0.7450  0.2500  0.8428  4 O 1.63-1.66
O  0.0669  0.7500  0.9464  1 Si 1.65
O  0.0748  0.7500  0.2902  1 Si 1.63
O  0.4488  0.5260  0.1766  1 Si 1.66
O  0.4488  0.9740  0.1766  1 Si 1.66
O  0.5512  0.0260  0.8234  1 Si 1.66
O  0.5512  0.4740  0.8234  1 Si 1.66
O  0.9252  0.2500  0.7098  1 Si 1.63
O  0.9331  0.2500  0.0536  1 Si 1.65

Calculated values
space-group type = P2_1/m (11)
uncorrected energy = -7.294 eV per atom


# 4
Material: MgBr2Cl
Method: DFT, PBE-GGA
State: relaxed

Cell lengths 7.3843, 7.3843, 7.3843 Å; angles 151.25, 138.15, 51.57 degrees
Last column: nearest neighbours and their distance in Å.
Atoms (fractional coordinates):
Mg  0.0000  0.0000  0.0000  4 Br 2.62
Br  0.1404  0.6404  0.5000  2 Mg 2.62
Br  0.8596  0.3596  0.5000  2 Mg 2.62
Cl  0.5000  0.5000  0.0000  4 Mg 3.21, 4 Br 3.23

Calculated values
energy relative to the lowest polymorph listed for this composition = 166 meV per atom
space-group type = Immm (71)


# 5
Material: PuThBiPb
Method: DFT, PBE-GGA
State: relaxed

Cell lengths 5.5371, 5.5371, 5.5371 Å; angles 60.00, 60.00, 60.00 degrees
Last column: nearest neighbours and their distance in Å.
Atoms (fractional coordinates):
Pu  0.0000  0.0000  0.0000  4 Pb 3.39, 4 Bi 3.39
Th  0.5000  0.5000  0.5000  4 Pb 3.39, 4 Bi 3.39
Bi  0.2500  0.2500  0.2500  4 Th 3.39, 4 Pu 3.39
Pb  0.7500  0.7500  0.7500  4 Th 3.39, 4 Pu 3.39

Calculated values
space-group type = F-43m (216)
DFT formation energy = -227 meV per atom


# 6
Material: BaLi3Hf
Method: DFT, PBE-GGA
State: relaxed

Cell lengths 5.0798, 5.0798, 5.0798 Å; angles 90.00, 90.00, 90.00 degrees
Last column: nearest neighbours and their distance in Å.
Atoms (fractional coordinates):
Ba  0.0000  0.0000  0.0000  6 Li 2.54
Li  0.0000  0.0000  0.5000  2 Ba 2.54
Li  0.0000  0.5000  0.0000  2 Ba 2.54
Li  0.5000  0.0000  0.0000  2 Ba 2.54
Hf  0.5000  0.5000  0.5000  12 Li 3.59

Calculated values
energy relative to the lowest polymorph listed for this composition = 439 meV per atom
space-group type = Pm-3m (221)
DFT formation energy = 1302 meV per atom


# 7
Material: Rb4SeO
Method: DFT, PBE-GGA
State: relaxed

Cell lengths 8.9981, 8.9981, 7.7969 Å; angles 110.79, 110.79, 112.59 degrees
Last column: nearest neighbours and their distance in Å.
Atoms (fractional coordinates):
Rb  0.0535  0.5601  0.7773  1 O 2.76
Rb  0.2178  0.2230  0.2761  1 O 2.77
Rb  0.2230  0.2178  0.7761  1 O 2.77
Rb  0.4399  0.9465  0.7227  1 O 2.76
Rb  0.5601  0.0535  0.2773  1 O 2.76
Rb  0.7770  0.7822  0.2239  1 O 2.77
Rb  0.7822  0.7770  0.7239  1 O 2.77
Rb  0.9465  0.4399  0.2227  1 O 2.76
Se  0.3749  0.6251  0.2500  8 Rb 3.45
Se  0.6251  0.3749  0.7500  8 Rb 3.45
O  0.1246  0.8754  0.7500  4 Rb 2.76-2.77
O  0.8754  0.1246  0.2500  4 Rb 2.76-2.77

Calculated values
energy relative to the lowest polymorph listed for this composition = 0 meV per atom
space-group type = C2/c (15)


# 8
Material: Nd6C2S3N
Method: DFT, PBE-GGA
State: relaxed

Cell lengths 8.8437, 8.8437, 7.9560 Å; angles 105.44, 105.44, 25.21 degrees
Last column: nearest neighbours and their distance in Å.
Atoms (fractional coordinates):
Nd  0.0082  0.0082  0.2299  1 C 2.58, 2 N 2.64
Nd  0.3264  0.3264  0.4355  3 C 2.67-2.70, 3 S 2.90-2.91
Nd  0.3412  0.3412  0.8984  2 C 2.63, 1 N 2.64, 3 S 2.91-2.92
Nd  0.6588  0.6588  0.1016  2 C 2.63, 1 N 2.64, 3 S 2.91-2.92
Nd  0.6736  0.6736  0.5645  3 C 2.67-2.70, 3 S 2.90-2.91
Nd  0.9918  0.9918  0.7701  1 C 2.58, 2 N 2.64
C  0.1637  0.1637  0.3285  6 Nd 2.58-2.70
C  0.8363  0.8363  0.6715  6 Nd 2.58-2.70
S  0.1666  0.1666  0.8334  6 Nd 2.91-2.92
S  0.5000  0.5000  0.5000  6 Nd 2.90-2.92
S  0.8334  0.8334  0.1666  6 Nd 2.91-2.92
N  0.5000  0.5000  0.0000  6 Nd 2.64

Calculated values
space-group type = C2/m (12)
uncorrected energy = -6.970 eV per atom


# 9
Material: Zn3GaNi2
Method: DFT, PBE-GGA
State: relaxed

Cell lengths 4.7053, 4.7053, 7.9673 Å; angles 98.77, 98.77, 113.15 degrees
Last column: nearest neighbours and their distance in Å.
Atoms (fractional coordinates):
Zn  0.0394  0.2877  0.5815  5 Ni 2.54-2.71, 5 Zn 2.54-2.71, 2 Ga 2.67-2.70
Zn  0.1276  0.8724  0.7500  6 Zn 2.54-2.71, 2 Ga 2.59, 4 Ni 2.61-2.71
Zn  0.2877  0.0394  0.0815  5 Ni 2.54-2.71, 5 Zn 2.54-2.71, 2 Ga 2.67-2.70
Zn  0.7123  0.9606  0.9185  5 Ni 2.54-2.71, 5 Zn 2.54-2.71, 2 Ga 2.67-2.70
Zn  0.8724  0.1276  0.2500  6 Zn 2.54-2.71, 2 Ga 2.59, 4 Ni 2.61-2.71
Zn  0.9606  0.7123  0.4185  5 Ni 2.54-2.71, 5 Zn 2.54-2.71, 2 Ga 2.67-2.70
Ga  0.3780  0.6220  0.2500  6 Ni 2.59-2.72, 6 Zn 2.59-2.70
Ga  0.6220  0.3780  0.7500  6 Ni 2.59-2.72, 6 Zn 2.59-2.70
Ni  0.2093  0.4583  0.9126  7 Zn 2.54-2.71, 3 Ga 2.59-2.72, 2 Ni 2.69-2.72
Ni  0.4583  0.2093  0.4126  7 Zn 2.54-2.71, 3 Ga 2.59-2.72, 2 Ni 2.69-2.72
Ni  0.5417  0.7907  0.5874  7 Zn 2.54-2.71, 3 Ga 2.59-2.72, 2 Ni 2.69-2.72
Ni  0.7907  0.5417  0.0874  7 Zn 2.54-2.71, 3 Ga 2.59-2.72, 2 Ni 2.69-2.72

Calculated values
energy relative to the lowest polymorph listed for this composition = 0 meV per atom
space-group type = C2/c (15)
DFT formation energy = -182 meV per atom


# 10
Material: NaAcB12
Method: DFT, PBE-GGA
State: relaxed

Cell lengths 5.9322, 5.9322, 5.9322 Å; angles 60.00, 60.00, 60.00 degrees
Last column: nearest neighbours and their distance in Å.
Atoms (fractional coordinates):
Na  0.0000  0.0000  0.0000  24 B 3.09
Ac  0.5000  0.5000  0.5000  24 B 3.09
B  0.1015  0.1015  0.3985  5 B 1.70-1.76
B  0.1015  0.3985  0.1015  5 B 1.70-1.76
B  0.1015  0.3985  0.3985  5 B 1.70-1.76
B  0.3985  0.1015  0.1015  5 B 1.70-1.76
B  0.3985  0.1015  0.3985  5 B 1.70-1.76
B  0.3985  0.3985  0.1015  5 B 1.70-1.76
B  0.6015  0.6015  0.8985  5 B 1.70-1.76
B  0.6015  0.8985  0.6015  5 B 1.70-1.76
B  0.6015  0.8985  0.8985  5 B 1.70-1.76
B  0.8985  0.6015  0.6015  5 B 1.70-1.76
B  0.8985  0.6015  0.8985  5 B 1.70-1.76
B  0.8985  0.8985  0.6015  5 B 1.70-1.76

Calculated values
space-group type = Fm-3m (225)
DFT formation energy = -360 meV per atom


# 11
Material: IrC3
Method: DFT, PBE-GGA
State: relaxed

Cell lengths 3.6571, 3.6571, 2.7011 Å; angles 90.00, 90.00, 90.00 degrees
Last column: nearest neighbours and their distance in Å.
Atoms (fractional coordinates):
Ir  0.0000  0.0000  0.0000  8 C 2.27
C  0.0000  0.5000  0.5000  4 Ir 2.27, 4 C 2.27
C  0.5000  0.0000  0.5000  4 Ir 2.27, 4 C 2.27
C  0.5000  0.5000  0.0000  8 C 2.27

Calculated values
energy relative to the lowest polymorph listed for this composition = 2412 meV per atom
space-group type = P4/mmm (123)
DFT formation energy = 3128 meV per atom


# 12
Material: KRb2Na2
Method: DFT, PBE-GGA
State: relaxed

Cell lengths 14.5759, 14.5759, 14.5759 Å; angles 160.78, 160.78, 27.31 degrees
Last column: nearest neighbours and their distance in Å.
Atoms (fractional coordinates):
K  0.0000  0.0000  0.0000  4 K 4.87, 8 Rb 4.89
Rb  0.3775  0.3775  0.0000  4 Na 4.36, 4 Rb 4.87
Rb  0.6225  0.6225  0.0000  4 Na 4.36, 4 Rb 4.87
Na  0.2500  0.7500  0.5000  4 Na 3.44
Na  0.7500  0.2500  0.5000  4 Na 3.44

Calculated values
energy relative to the lowest polymorph listed for this composition = 17 meV per atom
space-group type = I4/mmm (139)
DFT formation energy = 51 meV per atom